(1)
Crystalline Pm3PrEr3 at its relaxed geometry, computed with PBE.

Values from the calculation:
ΔE to the lowest computed polymorph: 0 kJ/mol of formula units
Space-group type: No. 148
ΔE_f: 1.4 eV/f.u.

a b c (Å): 8.911 8.911 8.911
angles (deg): 58.46 58.46 58.46
Element x y z (fractional)
Pm: 0.721 0.567 0.070
Pm: 0.070 0.721 0.567
Pm: 0.567 0.070 0.721
Pm: 0.433 0.930 0.279
Pm: 0.930 0.279 0.433
Pm: 0.279 0.433 0.930
Pr: 0.346 0.346 0.346
Pr: 0.654 0.654 0.654
Er: 0.716 0.172 0.937
Er: 0.172 0.937 0.716
Er: 0.937 0.716 0.172
Er: 0.063 0.284 0.828
Er: 0.828 0.063 0.284
Er: 0.284 0.828 0.063

(2)
Crystalline BaPb4Se at its relaxed geometry, computed with PBE.

Values from the calculation:
E_form (uncorrected): -0.196 eV per atom
Space-group type: No. 216

a b c (Å): 6.545 6.545 6.545
angles (deg): 60.00 60.00 60.00
Element x y z (fractional)
Ba: 0.000 0.000 0.000
Pb: 0.875 0.375 0.375
Pb: 0.375 0.375 0.875
Pb: 0.375 0.875 0.375
Pb: 0.375 0.375 0.375
Se: 0.750 0.750 0.750

In Å³ per cell, the volume values for the records above are, in order, 482.7 198.2.
In Bohr magnetons per cell, the magnetization values for the records above are, in order, 0.00 0.00.
In eV/atom, the E values for the records above are, in order, -4.48 -3.57.